Here is crystalline Mn2BeTe at its relaxed geometry from Alexandria. Energies are from PBE.

Summary:
calculated density = 7123 kg/m3
formation energy from raw total energies = 0.54 eV/atom

```
Mn2BeTe
1.0
-1.4269 -3.0490 1.6064
-0.4355 -1.5652 -3.3576
6.6389 -5.5667 -0.3381
Mn Be Te
4 2 2
Direct
0.8750 0.7868 0.7500
0.5368 0.1250 0.2500
0.2132 0.6250 0.2500
0.3750 0.4632 0.7500
0.5000 0.5000 0.0000
0.2500 0.7500 0.5000
0.0000 0.0000 0.0000
0.7500 0.2500 0.5000
```

---

Here is crystalline Hf2ZrTe4 at its relaxed geometry from Alexandria. Energies are from PBE.

Summary:
calculated density = 8244 kg/m3
formation energy from raw total energies = -0.74 eV/atom

```
Hf2ZrTe4
1.0
7.6427 -0.0087 -1.9658
-4.3867 6.2585 -1.9658
-0.0821 -0.1577 8.1790
Zr Te Hf
2 8 4
Direct
0.4804 0.2265 0.9456
0.2265 0.4804 0.4456
0.8129 0.3017 0.8334
0.7177 0.7111 0.1695
0.7656 0.3023 0.3314
0.3017 0.8129 0.3334
0.2148 0.1609 0.1548
0.1609 0.2148 0.6548
0.7111 0.7177 0.6695
0.3023 0.7656 0.8314
0.4922 0.2578 0.5439
0.2578 0.4922 0.0439
0.7802 0.0373 0.0229
0.0373 0.7802 0.5229
```

---

Here is crystalline Rb2BaIrOs at its relaxed geometry from Alexandria. Energies are from PBE.

Summary:
calculated density = 4525 kg/m3
ΔE_f = 2.07 eV/atom

```
Rb2BaIrOs
1.0
7.0610 0.0000 0.0000
0.0000 5.0843 0.0000
0.0000 0.0000 7.0610
Rb Os Ba Ir
2 1 1 1
Direct
0.0000 0.0000 0.5000
0.5000 0.0000 0.0000
0.0000 0.5000 0.0000
0.0000 0.0000 0.0000
0.5000 0.5000 0.5000
```